Computed, not measured: crystalline HoEr6Sc2 at its relaxed geometry at the GGA-PBE level of DFT.

Geometry as POSCAR:
```
HoEr6Sc2
1.0
6.6061 -6.4323 0.0000
6.6061 6.4323 0.0000
-1.5724 0.0000 6.2556
Ho Er Sc
2 12 4
direct
0.1394 0.8606 0.7500 Ho
0.8606 0.1394 0.2500 Ho
0.0366 0.2069 0.8167 Er
0.0502 0.4612 0.2633 Er
0.2069 0.0366 0.3167 Er
0.3262 0.6204 0.0012 Er
0.3796 0.6738 0.4988 Er
0.4612 0.0502 0.7633 Er
0.5388 0.9498 0.2367 Er
0.6204 0.3262 0.5012 Er
0.6738 0.3796 0.9988 Er
0.7931 0.9634 0.6833 Er
0.9498 0.5388 0.7367 Er
0.9634 0.7931 0.1833 Er
0.2927 0.3502 0.6269 Sc
0.3502 0.2927 0.1269 Sc
0.6498 0.7073 0.8731 Sc
0.7073 0.6498 0.3731 Sc
```

Properties
SG: No. 15
E above lowest polymorph: 0.000 eV/atom
final energy: -86.8 eV for the cell shown
crystal system: monoclinic